Below is a geometry-optimized CrNiAg2 structure, with properties calculated at the GGA-PBE level.

Values from the calculation:
- crystal system = orthorhombic
- space group = Imm2 (44)

Cell: 4.812 4.812 4.812 Å, 131.33 130.89 71.64°
Positions (direct):
Ni: 0.749 0.249 0.500
Ag: 0.999 0.999 0.000
Cr: 0.501 0.501 0.000
Ag: 0.250 0.750 0.500

***

Below is a geometry-optimized Cr4NiAg structure, with properties calculated at the GGA-PBE level.

Values from the calculation:
- crystal system = cubic
- space group = F-43m (216)

Cell: 4.759 4.759 4.759 Å, 60.00 60.00 60.00°
Positions (direct):
Cr: 0.375 0.375 0.375
Ag: 0.000 0.000 0.000
Cr: 0.875 0.375 0.375
Cr: 0.375 0.375 0.875
Cr: 0.375 0.875 0.375
Ni: 0.750 0.750 0.750

***

Below is a geometry-optimized CrNi2Ag structure, with properties calculated at the GGA-PBE level.

Values from the calculation:
- crystal system = tetragonal
- space group = I-42d (122)

Cell: 6.627 6.627 5.366 Å, 51.87 51.87 90.00°
Positions (direct):
Cr: 0.500 0.500 0.000
Ag: 0.750 0.250 0.500
Ni: 0.599 0.125 0.250
Ni: 0.875 0.849 0.750
Ag: 0.000 0.000 0.000
Ni: 0.375 0.401 0.750
Ni: 0.151 0.625 0.250
Cr: 0.250 0.750 0.500

***

Below is a geometry-optimized CrNi2Ag structure, with properties calculated at the GGA-PBE level.

Values from the calculation:
- crystal system = cubic
- space group = F-43m (216)

Cell: 4.250 4.250 4.250 Å, 60.00 60.00 60.00°
Positions (direct):
Ag: 0.500 0.500 0.500
Ni: 0.000 0.000 0.000
Cr: 0.750 0.750 0.750
Ni: 0.250 0.250 0.250

***

Below is a geometry-optimized Cr2Ni2Ag structure, with properties calculated at the GGA-PBE level.

Values from the calculation:
- crystal system = tetragonal
- space group = P4/mbm (127)

Cell: 7.101 7.101 2.560 Å, 90.00 90.00 90.00°
Positions (direct):
Cr: 0.108 0.392 0.000
Cr: 0.392 0.892 0.000
Cr: 0.892 0.608 0.000
Ag: 0.000 0.000 0.000
Ag: 0.500 0.500 0.000
Ni: 0.820 0.320 0.500
Ni: 0.180 0.680 0.500
Ni: 0.320 0.180 0.500
Ni: 0.680 0.820 0.500
Cr: 0.608 0.108 0.000

***

Below is a geometry-optimized CrNiAg4 structure, with properties calculated at the GGA-PBE level.

Values from the calculation:
- crystal system = cubic
- space group = F-43m (216)

Cell: 5.370 5.370 5.370 Å, 60.00 60.00 60.00°
Positions (direct):
Cr: 0.750 0.750 0.750
Ag: 0.875 0.375 0.375
Ag: 0.375 0.375 0.375
Ag: 0.375 0.375 0.875
Ni: 0.000 0.000 0.000
Ag: 0.375 0.875 0.375

***

no.,formation enthalpy at 0 K (eV per atom),ρ (g/cm³)
1,0.36,8.760
2,0.42,8.161
3,0.64,8.019
4,0.41,8.481
5,0.32,8.470
6,0.55,8.224